# VPdO2F (GGA+U, optimized geometry)
# * VASP energy: -5.935 eV/atom
# * spin magnetization: 0.0 Bohr magnetons per cell
data_VPdO2F
_chemical_formula_sum 'V1 Pd1 O2 F1'
_space_group_name_H-M_alt 'P 4/m m m'
_space_group_IT_number 123
_space_group_name_Hall '-P 4 2'
_cell_length_a 3.794
_cell_length_b 3.794
_cell_length_c 3.965
_cell_angle_alpha 90.00
_cell_angle_beta 90.00
_cell_angle_gamma 90.00
loop_
_atom_site_label
_atom_site_type_symbol
_atom_site_fract_x
_atom_site_fract_y
_atom_site_fract_z
V1 V 0.000 0.000 0.000
Pd1 Pd 0.500 0.500 0.500
O1 O 0.000 0.500 0.000
F1 F 0.000 0.000 0.500